Density functional theory data (PBE) for a relaxed KNa5H6 crystal.

## Properties
Total magnetic moment (μB/cell): 0.00
SG: C2/m (12)
Total DFT energy (no corrections) (eV/atom): -2.502

a = 6.077 Å, b = 6.077 Å, c = 6.049 Å
α = 99.55°, β = 99.55°, γ = 120.05°
Fractional positions:
K: 0.000 0.000 0.000
Na: 0.172 0.828 0.500
Na: 0.333 0.667 0.000
Na: 0.500 0.500 0.500
Na: 0.667 0.333 0.000
Na: 0.828 0.172 0.500
H: 0.087 0.444 0.255
H: 0.265 0.265 0.732
H: 0.444 0.087 0.255
H: 0.556 0.913 0.745
H: 0.735 0.735 0.268
H: 0.913 0.556 0.745